1.
A plane-wave DFT calculation with PBE was carried out for a relaxed Ho4Pb crystal.

Output
- Calculated volume: 191.3 Å³ per cell
- Total energy: -19.89 eV/cell
- E_form: 425.5 meV/atom

Structure (CIF):
```
data_Ho4Pb
_chemical_formula_sum 'Ho4 Pb1'
_space_group_name_H-M_alt 'P m -3 m'
_space_group_IT_number 221
_space_group_name_Hall '-P 4 2 3'
_cell_length_a 5.762
_cell_length_b 5.762
_cell_length_c 5.762
_cell_angle_alpha 90.00
_cell_angle_beta 90.00
_cell_angle_gamma 90.00
loop_
_atom_site_label
_atom_site_type_symbol
_atom_site_fract_x
_atom_site_fract_y
_atom_site_fract_z
Ho1 Ho 0.000 0.000 0.000
Ho2 Ho 0.000 0.500 0.500
Pb1 Pb 0.500 0.500 0.500
```

---

2.
A plane-wave DFT calculation with PBE was carried out for a relaxed Pr6Si2PdBr3 crystal.

Output
- Calculated volume: 708.6 Å³ per cell
- Raw formation energy: -1.028 eV/atom
- Total energy: -124.13 eV/cell

Structure (CIF):
```
data_Pr6Si2PdBr3
_chemical_formula_sum 'Pr12 Si4 Pd2 Br6'
_space_group_name_H-M_alt 'C 1 2/m 1'
_space_group_IT_number 12
_space_group_name_Hall '-C 2y'
_cell_length_a 19.200
_cell_length_b 4.239
_cell_length_c 8.993
_cell_angle_alpha 90.00
_cell_angle_beta 104.50
_cell_angle_gamma 90.00
loop_
_atom_site_label
_atom_site_type_symbol
_atom_site_fract_x
_atom_site_fract_y
_atom_site_fract_z
Pr1 Pr 0.010 0.000 0.228
Pr2 Pr 0.162 0.500 0.108
Pr3 Pr 0.175 0.500 0.565
Si1 Si 0.167 0.000 0.336
Pd1 Pd 0.000 0.500 0.000
Br1 Br 0.000 0.500 0.500
Br2 Br 0.168 0.000 0.832
```

---

3.
A plane-wave DFT calculation with PBE was carried out for a relaxed ZrScAsSe crystal.

Output
- Calculated volume: 250.4 Å³ per cell
- Raw formation energy: -1.309 eV/atom
- Total energy: -84.75 eV/cell

Structure (CIF):
```
data_ZrScAsSe
_chemical_formula_sum 'Zr3 Sc3 As3 Se3'
_space_group_name_H-M_alt 'R 3 m'
_space_group_IT_number 160
_space_group_name_Hall 'R 3 -2"'
_cell_length_a 3.7740
_cell_length_b 3.7740
_cell_length_c 20.3082
_cell_angle_alpha 90.00
_cell_angle_beta 90.00
_cell_angle_gamma 120.00
loop_
_atom_site_label
_atom_site_type_symbol
_atom_site_fract_x
_atom_site_fract_y
_atom_site_fract_z
Zr1 Zr 0.0000 0.0000 0.0000
Sc1 Sc 0.0000 0.0000 0.8182
As1 As 0.0000 0.0000 0.4099
Se1 Se 0.0000 0.0000 0.5774
```

---

4.
A plane-wave DFT calculation with PBE was carried out for a relaxed MnSb crystal.

Output
- Calculated volume: 78.6 Å³ per cell
- Raw formation energy: 0.276 eV/atom
- Total energy: -25.48 eV/cell

Structure (CIF):
```
data_MnSb
_chemical_formula_sum 'Mn2 Sb2'
_space_group_name_H-M_alt 'C m m m'
_space_group_IT_number 65
_space_group_name_Hall '-C 2 2'
_cell_length_a 4.212
_cell_length_b 5.017
_cell_length_c 3.719
_cell_angle_alpha 90.00
_cell_angle_beta 90.00
_cell_angle_gamma 90.00
loop_
_atom_site_label
_atom_site_type_symbol
_atom_site_fract_x
_atom_site_fract_y
_atom_site_fract_z
Mn1 Mn 0.000 0.000 0.000
Sb1 Sb 0.000 0.500 0.500
```